(1)
Density functional theory data (GGA-PBEsol) for an optimized crystal structure of CsNa2LiCa.

Cell lengths 6.146, 6.146, 6.225 Å; angles 90.00, 90.00, 90.00 degrees
Space group P4/mmm (No. 123)
One atom of each set of equivalent atoms:
Cs 0.000 0.000 0.000 [1 per cell]
Na 0.000 0.500 0.500 [2 per cell]
Li 0.500 0.500 0.500 [1 per cell]
Ca 0.500 0.500 0.000 [1 per cell]

Calculated values
energy relative to the elements	175	meV/atom

(2)
Density functional theory data (GGA-PBEsol) for an optimized crystal structure of CsCaMg3.

Cell lengths 6.271, 6.271, 6.271 Å; angles 90.00, 90.00, 90.00 degrees
Space group Pm-3m (No. 221)
One atom of each set of equivalent atoms:
Cs 0.000 0.000 0.000 [1 per cell]
Ca 0.500 0.500 0.500 [1 per cell]
Mg 0.000 0.500 0.500 [3 per cell]

Calculated values
energy relative to the elements	539	meV/atom

(3)
Density functional theory data (GGA-PBEsol) for an optimized crystal structure of CsCaMo3.

Cell lengths 4.924, 4.924, 4.924 Å; angles 90.00, 90.00, 90.00 degrees
Space group Pm-3m (No. 221)
One atom of each set of equivalent atoms:
Cs 0.000 0.000 0.000 [1 per cell]
Ca 0.500 0.500 0.500 [1 per cell]
Mo 0.000 0.000 0.500 [3 per cell]

Calculated values
energy relative to the elements	2717	meV/atom